No. 1
## CoMoAs2 (GGA-PBE)

Data for an optimized crystal structure of CoMoAs2.

As for the volume: 15.07 Å³ per atom. Its spin magnetization is 0.0 Bohr magnetons per cell.

The space group is Imm2 (No. 44) and the conventional cell measures 3.313, 3.327 and 10.935 Å, with angles of 90.00, 90.00 and 90.00 degrees. Symmetry generates all atoms from Co at (0.000, 0.000, 0.000), Mo at (0.000, 0.500, 0.758), As at (0.000, 0.000, 0.433) and As at (0.000, 0.500, 0.163).

No. 2
## CoMoAs2 (GGA-PBE)

Data for an optimized crystal structure of CoMoAs2.

As for the volume: 14.69 Å³ per atom. Its spin magnetization is 1.2 Bohr magnetons per cell.

The space group is P2/m (No. 10) and the conventional cell measures 3.153, 3.142 and 5.969 Å, with angles of 90.00, 96.49 and 90.00 degrees. Symmetry generates all atoms from Co at (0.000, 0.000, 0.000), Mo at (0.000, 0.000, 0.500) and As at (0.443, 0.500, 0.251).

No. 3
## CoMo2As2 (GGA-PBE)

Data for an optimized crystal structure of CoMo2As2.

As for the volume: 15.21 Å³ per atom. Its spin magnetization is 3.3 Bohr magnetons per cell.

The space group is P4/mbm (No. 127) and the conventional cell measures 6.796, 6.796 and 3.294 Å, with angles of 90.00, 90.00 and 90.00 degrees. Symmetry generates all atoms from Co at (0.000, 0.000, 0.000), Mo at (0.146, 0.354, 0.500) and As at (0.155, 0.655, 0.000).

Number 1: formation energy -0.073 eV per atom. Number 2: formation energy 0.049 eV per atom. Number 3: formation energy 0.173 eV per atom.